# Be2ZnRh (PBE, relaxed)
data_Be2ZnRh
_space_group_name_H-M_alt 'P 4 m m'
_space_group_IT_number 99
_space_group_name_Hall 'P 4 -2'
_cell_length_a 2.860
_cell_length_b 2.860
_cell_length_c 5.497
_cell_angle_alpha 90.00
_cell_angle_beta 90.00
_cell_angle_gamma 90.00
loop_
_atom_site_label
_atom_site_type_symbol
_atom_site_fract_x
_atom_site_fract_y
_atom_site_fract_z
Be1 Be 0.000 0.000 0.000
Be2 Be 0.500 0.500 0.217
Zn1 Zn 0.500 0.500 0.739
Rh1 Rh 0.000 0.000 0.420
# DFT total energy, eV for the cell shown: -17.0

# Ag3Pd3Au5 (PBE, relaxed)
data_Ag3Pd3Au5
_space_group_name_H-M_alt 'P -6 2 m'
_space_group_IT_number 189
_space_group_name_Hall 'P -6 -2'
_cell_length_a 9.3335
_cell_length_b 9.3335
_cell_length_c 2.7788
_cell_angle_alpha 90.00
_cell_angle_beta 90.00
_cell_angle_gamma 120.00
loop_
_atom_site_label
_atom_site_type_symbol
_atom_site_fract_x
_atom_site_fract_y
_atom_site_fract_z
Ag1 Ag 0.0000 0.1706 0.0000
Pd1 Pd 0.0000 0.4188 0.5000
Au1 Au 0.0000 0.6650 0.0000
Au2 Au 0.3333 0.6667 0.0000
# DFT total energy, eV for the cell shown: -38.1

# Tb8Y4Tm (PBE, relaxed)
data_Tb8Y4Tm
_space_group_name_H-M_alt 'R -3 m'
_space_group_IT_number 166
_space_group_name_Hall '-R 3 2"'
_cell_length_a 11.0007
_cell_length_b 11.0007
_cell_length_c 13.4152
_cell_angle_alpha 90.00
_cell_angle_beta 90.00
_cell_angle_gamma 120.00
loop_
_atom_site_label
_atom_site_type_symbol
_atom_site_fract_x
_atom_site_fract_y
_atom_site_fract_z
Tb1 Tb 0.0000 0.0000 0.2415
Tb2 Tb 0.0104 0.5052 0.7465
Y1 Y 0.0000 0.0000 0.0000
Y2 Y 0.0000 0.5000 0.0000
Tm1 Tm 0.0000 0.0000 0.5000
# DFT total energy, eV for the cell shown: -182.0

# ZrNb2Co2 (PBE, relaxed)
data_ZrNb2Co2
_space_group_name_H-M_alt 'P 4/m b m'
_space_group_IT_number 127
_space_group_name_Hall '-P 4 2ab'
_cell_length_a 7.186
_cell_length_b 7.186
_cell_length_c 3.095
_cell_angle_alpha 90.00
_cell_angle_beta 90.00
_cell_angle_gamma 90.00
loop_
_atom_site_label
_atom_site_type_symbol
_atom_site_fract_x
_atom_site_fract_y
_atom_site_fract_z
Zr1 Zr 0.000 0.000 0.000
Nb1 Nb 0.168 0.332 0.500
Co1 Co 0.125 0.625 0.000
# Energy above the lowest structure with this stoichiometry, meV/atom: 0

# MgAs3C (PBE, relaxed)
data_MgAs3C
_space_group_name_H-M_alt 'P m -3 m'
_space_group_IT_number 221
_space_group_name_Hall '-P 4 2 3'
_cell_length_a 4.929
_cell_length_b 4.929
_cell_length_c 4.929
_cell_angle_alpha 90.00
_cell_angle_beta 90.00
_cell_angle_gamma 90.00
loop_
_atom_site_label
_atom_site_type_symbol
_atom_site_fract_x
_atom_site_fract_y
_atom_site_fract_z
Mg1 Mg 0.000 0.000 0.000
As1 As 0.000 0.000 0.500
C1 C 0.500 0.500 0.500
# Energy above the lowest structure with this stoichiometry, meV/atom: 1154

# Tl2ZnPd8 (PBE, relaxed)
data_Tl2ZnPd8
_space_group_name_H-M_alt 'I m m m'
_space_group_IT_number 71
_space_group_name_Hall '-I 2 2'
_cell_length_a 4.560
_cell_length_b 6.184
_cell_length_c 13.363
_cell_angle_alpha 90.00
_cell_angle_beta 90.00
_cell_angle_gamma 90.00
loop_
_atom_site_label
_atom_site_type_symbol
_atom_site_fract_x
_atom_site_fract_y
_atom_site_fract_z
Tl1 Tl 0.000 0.000 0.179
Zn1 Zn 0.000 0.000 0.500
Pd1 Pd 0.000 0.250 0.000
Pd2 Pd 0.000 0.259 0.355
Pd3 Pd 0.000 0.500 0.171
# Energy above the lowest structure with this stoichiometry, meV/atom: 36